Material: CaHfAl2
Method: DFT, PBE-GGA
State: optimized geometry Values from VASP.

```
&SYSTEM
  ibrav = 0, nat = 4, ntyp = 3
/
ATOMIC_SPECIES
Ca 40.08 Ca.upf
Hf 178.49 Hf.upf
Al 26.98 Al.upf
CELL_PARAMETERS angstrom
3.1213 0.0000 0.0000
0.0000 3.1213 0.0000
0.0000 0.0000 8.7551
ATOMIC_POSITIONS crystal
Ca 0.0000 0.0000 0.0000
Hf 0.0000 0.0000 0.5000
Al 0.5000 0.5000 0.2717
Al 0.5000 0.5000 0.7283
```

Computed properties:
Its space-group type is P4/mmm, No. 123. As for the crystal system: tetragonal. For the distance to the lowest polymorph of the same formula, the calculation gives 0.0 kJ/mol of atoms. As for the energy of formation from the pure elements: -0.984 eV per formula unit. For the magnetic moment, the calculation gives 0.00 μB per formula unit. For the density of states at the Fermi level, the calculation gives 2.20 states/eV/f.u. The calculation puts the calculated volume at 21.32 A^3/atom.